No. 1
Computed, not measured: an optimized crystal structure of Ho3Ga4Au2 at the PBE level of DFT.

a = 5.7632 Å, b = 5.7632 Å, c = 8.4554 Å
α = 111.07°, β = 111.07°, γ = 45.99°
Last column: nearest neighbours and their distance in Å.
Sites, in units of the cell vectors:
Ho: 0.0000 0.0000 0.0000  8 Ga 2.98-3.29, 4 Au 3.09
Ho: 0.3265 0.3265 0.3446  4 Au 3.03-3.22, 8 Ga 3.05-3.34
Ho: 0.6735 0.6735 0.6554  4 Au 3.03-3.22, 8 Ga 3.05-3.34
Ga: 0.0256 0.0256 0.3636  1 Ga 2.57, 2 Au 2.62
Ga: 0.2576 0.2576 0.9239  1 Au 2.62, 2 Ga 2.63
Ga: 0.7424 0.7424 0.0761  1 Au 2.62, 2 Ga 2.63
Ga: 0.9744 0.9744 0.6364  1 Ga 2.57, 2 Au 2.62
Au: 0.3975 0.3975 0.7285  3 Ga 2.62
Au: 0.6025 0.6025 0.2715  3 Ga 2.62

Its space group is No. 12. Its total moment is 0.0 μB per cell. For the total energy, the calculation gives -39.15 eV for the cell shown.

No. 2
Computed, not measured: an optimized crystal structure of HoGaAu at the PBE level of DFT.

a = 4.7564 Å, b = 4.7564 Å, c = 4.7564 Å
α = 60.00°, β = 60.00°, γ = 60.00°
Last column: nearest neighbours and their distance in Å.
Sites, in units of the cell vectors:
Ho: 0.0000 0.0000 0.0000  4 Au 2.91, 4 Ga 2.91
Ga: 0.2500 0.2500 0.2500  4 Ho 2.91
Au: 0.7500 0.7500 0.7500  4 Ho 2.91

Its space group is No. 216. Its total moment is 0.0 μB per cell. For the total energy, the calculation gives -11.58 eV for the cell shown.

No. 3
Computed, not measured: an optimized crystal structure of Ho2Ga4IrAu at the PBE level of DFT.

a = 6.7580 Å, b = 5.5430 Å, c = 5.5430 Å
α = 46.37°, β = 90.00°, γ = 90.00°
Last column: nearest neighbours and their distance in Å.
Sites, in units of the cell vectors:
Ho: 0.0000 0.0000 0.0000  3 Au 2.95-3.06, 6 Ga 3.04-3.21
Ho: 0.5000 0.1698 0.1698  3 Ir 2.94-3.07, 6 Ga 3.00-3.20
Ga: 0.2035 0.7151 0.7151  1 Ir 2.62, 2 Au 2.69, 2 Ga 2.72-2.75
Ga: 0.3070 0.4568 0.4568  2 Ga 2.61-2.72, 2 Ir 2.66, 1 Au 2.68
Ga: 0.6930 0.4568 0.4568  2 Ga 2.61-2.72, 2 Ir 2.66, 1 Au 2.68
Ga: 0.7965 0.7151 0.7151  1 Ir 2.62, 2 Au 2.69, 2 Ga 2.72-2.75
Ir: 0.5000 0.8811 0.8811  6 Ga 2.62-2.66
Au: 0.0000 0.2899 0.2899  6 Ga 2.68-2.69, 1 Ho 2.95

Its space group is No. 38. Its total moment is 0.0 μB per cell. For the total energy, the calculation gives -39.15 eV for the cell shown.

No. 4
Computed, not measured: an optimized crystal structure of Ho2Ga4PtAu at the PBE level of DFT.

a = 6.6727 Å, b = 5.5610 Å, c = 5.5610 Å
α = 47.00°, β = 90.00°, γ = 90.00°
Last column: nearest neighbours and their distance in Å.
Sites, in units of the cell vectors:
Ho: 0.0000 0.0000 0.0000  3 Pt 2.96-3.08, 6 Ga 3.00-3.21
Ho: 0.5000 0.1736 0.1736  3 Au 2.98-3.07, 6 Ga 3.04-3.23
Ga: 0.1944 0.7117 0.7117  2 Ga 2.59-2.65, 1 Au 2.68, 2 Pt 2.69
Ga: 0.2977 0.4610 0.4610  1 Pt 2.64, 2 Ga 2.65-2.70, 2 Au 2.72
Ga: 0.7023 0.4610 0.4610  1 Pt 2.64, 2 Ga 2.65-2.70, 2 Au 2.72
Ga: 0.8056 0.7117 0.7117  2 Ga 2.59-2.65, 1 Au 2.68, 2 Pt 2.69
Pt: 0.0000 0.2901 0.2901  6 Ga 2.64-2.69, 1 Ho 2.96
Au: 0.5000 0.8817 0.8817  6 Ga 2.68-2.72, 1 Ho 2.98

Its space group is No. 38. Its total moment is 0.0 μB per cell. For the total energy, the calculation gives -36.98 eV for the cell shown.

No. 5
Computed, not measured: an optimized crystal structure of RbHoGa4Au2 at the PBE level of DFT.

a = 6.8703 Å, b = 5.8123 Å, c = 5.8123 Å
α = 47.25°, β = 90.00°, γ = 90.00°
Last column: nearest neighbours and their distance in Å.
Sites, in units of the cell vectors:
Rb: 0.0000 0.0000 0.0000  3 Au 3.07-3.24, 6 Ga 3.19-3.36
Ho: 0.5000 0.1896 0.1896  6 Ga 3.12-3.21, 3 Au 3.16-3.19
Ga: 0.2009 0.7129 0.7129  2 Ga 2.75-2.76, 3 Au 2.79-2.82
Ga: 0.3117 0.4650 0.4650  2 Ga 2.59-2.75, 3 Au 2.78-2.85
Ga: 0.6883 0.4650 0.4650  2 Ga 2.59-2.75, 3 Au 2.78-2.85
Ga: 0.7991 0.7129 0.7129  2 Ga 2.75-2.76, 3 Au 2.79-2.82
Au: 0.0000 0.2883 0.2883  6 Ga 2.82-2.85, 1 Rb 3.07
Au: 0.5000 0.8897 0.8897  6 Ga 2.78-2.79

Its space group is No. 38. Its total moment is 0.0 μB per cell. For the total energy, the calculation gives -26.60 eV for the cell shown.

No. 6
Computed, not measured: an optimized crystal structure of SrHoGa4Au2 at the PBE level of DFT.

a = 6.7596 Å, b = 5.7243 Å, c = 5.7243 Å
α = 47.36°, β = 90.00°, γ = 90.00°
Last column: nearest neighbours and their distance in Å.
Sites, in units of the cell vectors:
Sr: 0.0000 0.0000 0.0000  3 Au 3.06-3.17, 6 Ga 3.12-3.31
Ho: 0.5000 0.8121 0.8121  6 Ga 3.07-3.21, 3 Au 3.11-3.14
Ga: 0.2018 0.2880 0.2880  2 Ga 2.66-2.73, 3 Au 2.76-2.80
Ga: 0.3078 0.5326 0.5326  2 Ga 2.60-2.66, 3 Au 2.76-2.78
Ga: 0.6922 0.5326 0.5326  2 Ga 2.60-2.66, 3 Au 2.76-2.78
Ga: 0.7982 0.2880 0.2880  2 Ga 2.66-2.73, 3 Au 2.76-2.80
Au: 0.0000 0.7079 0.7079  6 Ga 2.78-2.80, 1 Sr 3.06
Au: 0.5000 0.1085 0.1085  6 Ga 2.76

Its space group is No. 38. Its total moment is 0.0 μB per cell. For the total energy, the calculation gives -29.58 eV for the cell shown.

No. 7
Computed, not measured: an optimized crystal structure of YHoGa4Au2 at the PBE level of DFT.

a = 6.6569 Å, b = 5.6463 Å, c = 5.6463 Å
α = 47.04°, β = 90.00°, γ = 90.00°
Last column: nearest neighbours and their distance in Å.
Sites, in units of the cell vectors:
Y: 0.0000 0.0000 0.0000  6 Ga 3.03-3.27, 3 Au 3.03-3.12
Ho: 0.5000 0.8163 0.8163  6 Ga 3.02-3.27, 3 Au 3.03-3.11
Ga: 0.2000 0.2884 0.2884  2 Ga 2.57-2.66, 3 Au 2.73-2.75
Ga: 0.3002 0.5280 0.5280  2 Ga 2.57-2.66, 3 Au 2.73-2.75
Ga: 0.6998 0.5280 0.5280  2 Ga 2.57-2.66, 3 Au 2.73-2.75
Ga: 0.8000 0.2884 0.2884  2 Ga 2.57-2.66, 3 Au 2.73-2.75
Au: 0.0000 0.7077 0.7077  6 Ga 2.73-2.75, 1 Y 3.03
Au: 0.5000 0.1086 0.1086  6 Ga 2.73-2.75, 1 Ho 3.03

Its space group is No. 38. Its total moment is 0.0 μB per cell. For the total energy, the calculation gives -34.98 eV for the cell shown.

No. 8
Computed, not measured: an optimized crystal structure of InGa3Au2 at the PBE level of DFT.

a = 4.4798 Å, b = 4.4798 Å, c = 6.3520 Å
α = 90.00°, β = 90.00°, γ = 90.00°
Last column: nearest neighbours and their distance in Å.
Sites, in units of the cell vectors:
In: 0.0000 0.0000 0.0000  4 Au 2.81
Ga: 0.0000 0.0000 0.5000  4 Au 2.69
Ga: 0.5000 0.5000 0.0000  4 Au 2.81
Ga: 0.5000 0.5000 0.5000  4 Au 2.69
Au: 0.0000 0.5000 0.7339  6 Ga 2.69-2.81, 2 In 2.81
Au: 0.5000 0.0000 0.2661  6 Ga 2.69-2.81, 2 In 2.81

Its space group is No. 115. For the total energy, the calculation gives -19.67 eV for the cell shown.

No. 9
Computed, not measured: an optimized crystal structure of In2GaAu at the PBE level of DFT.

a = 5.0481 Å, b = 5.0481 Å, c = 5.0481 Å
α = 60.00°, β = 60.00°, γ = 60.00°
Last column: nearest neighbours and their distance in Å.
Sites, in units of the cell vectors:
In: 0.0000 0.0000 0.0000  4 In 3.09, 4 Au 3.09
In: 0.2500 0.2500 0.2500  4 In 3.09, 4 Ga 3.09
Ga: 0.5000 0.5000 0.5000  4 In 3.09, 4 Au 3.09
Au: 0.7500 0.7500 0.7500  4 Ga 3.09, 4 In 3.09

Its space group is No. 216. For the total energy, the calculation gives -11.68 eV for the cell shown.

No. 10
Computed, not measured: an optimized crystal structure of InGa2Au2 at the PBE level of DFT.

a = 4.2993 Å, b = 4.2993 Å, c = 13.1969 Å
α = 90.00°, β = 90.00°, γ = 120.00°
Last column: nearest neighbours and their distance in Å.
Sites, in units of the cell vectors:
In: 0.0000 0.0000 0.2500  6 Au 2.89
In: 0.0000 0.0000 0.7500  6 Au 2.89
Ga: 0.3333 0.6667 0.0638  4 Au 2.66-2.67
Ga: 0.3333 0.6667 0.4362  4 Au 2.66-2.67
Ga: 0.6667 0.3333 0.5638  4 Au 2.66-2.67
Ga: 0.6667 0.3333 0.9362  4 Au 2.66-2.67
Au: 0.3333 0.6667 0.6379  4 Ga 2.66-2.67, 3 In 2.89, 1 Au 2.96
Au: 0.3333 0.6667 0.8621  4 Ga 2.66-2.67, 3 In 2.89, 1 Au 2.96
Au: 0.6667 0.3333 0.1379  4 Ga 2.66-2.67, 3 In 2.89, 1 Au 2.96
Au: 0.6667 0.3333 0.3621  4 Ga 2.66-2.67, 3 In 2.89, 1 Au 2.96

Its space group is No. 194. For the total energy, the calculation gives -33.12 eV for the cell shown.

No. 11
Computed, not measured: an optimized crystal structure of InGa2Au at the PBE level of DFT.

a = 4.8831 Å, b = 4.8831 Å, c = 4.8831 Å
α = 60.00°, β = 60.00°, γ = 60.00°
Last column: nearest neighbours and their distance in Å.
Sites, in units of the cell vectors:
In: 0.0000 0.0000 0.0000  4 Au 2.99, 4 Ga 2.99
Ga: 0.5000 0.5000 0.5000  4 Ga 2.99, 4 Au 2.99
Ga: 0.7500 0.7500 0.7500  4 In 2.99, 4 Ga 2.99
Au: 0.2500 0.2500 0.2500  4 Ga 2.99, 4 In 2.99

Its space group is No. 216. For the total energy, the calculation gives -12.11 eV for the cell shown.

No. 12
Computed, not measured: an optimized crystal structure of In3GaAu2 at the PBE level of DFT.

a = 4.6449 Å, b = 4.6449 Å, c = 6.5803 Å
α = 90.00°, β = 90.00°, γ = 90.00°
Last column: nearest neighbours and their distance in Å.
Sites, in units of the cell vectors:
In: 0.0000 0.0000 0.0000  4 Au 2.89
In: 0.0000 0.0000 0.5000  4 Au 2.80
In: 0.5000 0.5000 0.0000  4 Au 2.89
Ga: 0.5000 0.5000 0.5000  4 Au 2.80
Au: 0.0000 0.5000 0.2612  6 In 2.80-2.89, 2 Ga 2.80
Au: 0.5000 0.0000 0.7388  6 In 2.80-2.89, 2 Ga 2.80

Its space group is No. 115. For the total energy, the calculation gives -19.08 eV for the cell shown.